Record 1
Below is a relaxed structure of Be2CoGe, with properties calculated at the PBE-GGA level.

Calculated values
electronic total energy: -76.5 eV per cell
magnetization: 0.00 μB/f.u.

extended XYZ file:
```
16
Lattice="5.4722 0.0000 0.0000 0.0000 5.4722 0.0000 0.0000 0.0000 5.4722" Properties=species:S:1:pos:R:3 pbc="T T T"
Be 0.0000 0.0000 0.0000
Be 0.0000 2.7361 2.7361
Be 1.3681 1.3681 1.3681
Be 1.3681 4.1042 4.1042
Be 2.7361 0.0000 2.7361
Be 2.7361 2.7361 0.0000
Be 4.1042 1.3681 4.1042
Be 4.1042 4.1042 1.3681
Co 1.3681 1.3681 4.1042
Co 1.3681 4.1042 1.3681
Co 4.1042 1.3681 1.3681
Co 4.1042 4.1042 4.1042
Ge 0.0000 0.0000 2.7361
Ge 0.0000 2.7361 0.0000
Ge 2.7361 0.0000 0.0000
Ge 2.7361 2.7361 2.7361
```

Record 2
Below is a relaxed structure of BeCo2Ge, with properties calculated at the PBE-GGA level.

Calculated values
distance to the lowest polymorph of the same formula: 5.1 kJ/mol of atoms
electronic total energy: -23.6 eV per cell
magnetization: 0.04 μB/f.u.

extended XYZ file:
```
4
Lattice="3.8056 0.0000 0.0000 0.0000 3.8056 0.0000 0.0000 0.0000 2.8889" Properties=species:S:1:pos:R:3 pbc="T T T"
Be 0.0000 0.0000 0.0000
Co 0.0000 1.9028 1.4445
Co 1.9028 0.0000 1.4445
Ge 1.9028 1.9028 0.0000
```

Record 3
Below is a relaxed structure of BeCo2Ge, with properties calculated at the PBE-GGA level.

Calculated values
distance to the lowest polymorph of the same formula: 26.7 kJ/mol of atoms
electronic total energy: -45.4 eV per cell
magnetization: 1.48 μB/f.u.

extended XYZ file:
```
8
Lattice="3.9339 0.0000 0.0000 -1.9669 3.4068 0.0000 0.0000 0.0000 6.9633" Properties=species:S:1:pos:R:3 pbc="T T T"
Be 0.0000 2.2712 1.7408
Be 1.9669 1.1356 5.2225
Co 0.0000 2.2712 4.0790
Co 0.0000 2.2712 6.3660
Co 1.9669 1.1356 0.5973
Co 1.9669 1.1356 2.8843
Ge 0.0000 0.0000 0.0000
Ge 0.0000 0.0000 3.4816
```

Record 4
Below is a relaxed structure of BeCo2Ge, with properties calculated at the PBE-GGA level.

Calculated values
distance to the lowest polymorph of the same formula: 36.7 kJ/mol of atoms
electronic total energy: -44.6 eV per cell
magnetization: 2.18 μB/f.u.

extended XYZ file:
```
8
Lattice="3.8661 0.0000 0.0000 -1.9330 3.3481 0.0000 0.0000 0.0000 6.9643" Properties=species:S:1:pos:R:3 pbc="T T T"
Be 0.0000 2.2321 1.7411
Be 1.9331 1.1160 5.2232
Co 0.0000 2.2321 4.0441
Co 0.0000 2.2321 6.4023
Co 1.9331 1.1160 0.5620
Co 1.9331 1.1160 2.9201
Ge 0.0000 0.0000 1.7411
Ge 0.0000 0.0000 5.2232
```

Record 5
Below is a relaxed structure of BeCo2Ge, with properties calculated at the PBE-GGA level.

Calculated values
distance to the lowest polymorph of the same formula: 5.1 kJ/mol of atoms
electronic total energy: -23.6 eV per cell
magnetization: 0.02 μB/f.u.

extended XYZ file:
```
4
Lattice="3.8032 0.0000 0.0000 0.0000 3.8032 0.0000 0.0000 0.0000 2.8940" Properties=species:S:1:pos:R:3 pbc="T T T"
Be 0.0000 0.0000 0.0000
Co 0.0000 1.9016 1.4470
Co 1.9016 0.0000 1.4470
Ge 1.9016 1.9016 0.0000
```

Record 6
Below is a relaxed structure of BeCo2Ge, with properties calculated at the PBE-GGA level.

Calculated values
distance to the lowest polymorph of the same formula: 18.4 kJ/mol of atoms
electronic total energy: -46.1 eV per cell
magnetization: 1.56 μB/f.u.

extended XYZ file:
```
8
Lattice="3.7734 0.0000 0.0000 -1.8867 3.2678 0.0000 0.0000 0.0000 7.3175" Properties=species:S:1:pos:R:3 pbc="T T T"
Be 0.0000 0.0000 0.0000
Be 0.0000 0.0000 3.6587
Co 0.0000 2.1786 0.6201
Co 0.0000 2.1786 3.0386
Co 1.8867 1.0893 4.2788
Co 1.8867 1.0893 6.6973
Ge 0.0000 2.1786 5.4881
Ge 1.8867 1.0893 1.8294
```

Record 7
Below is a relaxed structure of BeCo2Ge, with properties calculated at the PBE-GGA level.

Calculated values
distance to the lowest polymorph of the same formula: 0.0 kJ/mol of atoms
electronic total energy: -95.2 eV per cell
magnetization: 0.00 μB/f.u.

extended XYZ file:
```
16
Lattice="5.4951 0.0000 0.0000 0.0000 5.4951 0.0000 0.0000 0.0000 5.4951" Properties=species:S:1:pos:R:3 pbc="T T T"
Be 0.0000 0.0000 0.0000
Be 0.0000 2.7475 2.7475
Be 2.7475 0.0000 2.7475
Be 2.7475 2.7475 0.0000
Co 1.3738 1.3738 1.3738
Co 1.3738 1.3738 4.1213
Co 1.3738 4.1213 1.3738
Co 1.3738 4.1213 4.1213
Co 4.1213 1.3738 1.3738
Co 4.1213 1.3738 4.1213
Co 4.1213 4.1213 1.3738
Co 4.1213 4.1213 4.1213
Ge 0.0000 0.0000 2.7475
Ge 0.0000 2.7475 0.0000
Ge 2.7475 0.0000 0.0000
Ge 2.7475 2.7475 2.7475
```

Record 8
Below is a relaxed structure of BeCoHgGe, with properties calculated at the PBE-GGA level.

Calculated values
distance to the lowest polymorph of the same formula: 7.5 kJ/mol of atoms
electronic total energy: -54.1 eV per cell
magnetization: 0.14 μB/f.u.

extended XYZ file:
```
16
Lattice="6.1351 0.0000 0.0000 0.0000 6.1351 0.0000 0.0000 0.0000 6.1351" Properties=species:S:1:pos:R:3 pbc="T T T"
Be 0.0000 0.0000 0.0000
Be 0.0000 3.0676 3.0676
Be 3.0676 0.0000 3.0676
Be 3.0676 3.0676 0.0000
Co 1.5338 1.5338 4.6013
Co 1.5338 4.6013 1.5338
Co 4.6013 1.5338 1.5338
Co 4.6013 4.6013 4.6013
Hg 1.5338 1.5338 1.5338
Hg 1.5338 4.6013 4.6013
Hg 4.6013 1.5338 4.6013
Hg 4.6013 4.6013 1.5338
Ge 0.0000 0.0000 3.0676
Ge 0.0000 3.0676 0.0000
Ge 3.0676 0.0000 0.0000
Ge 3.0676 3.0676 3.0676
```

Record 9
Below is a relaxed structure of BeCoHgGe, with properties calculated at the PBE-GGA level.

Calculated values
distance to the lowest polymorph of the same formula: 0.0 kJ/mol of atoms
electronic total energy: -55.3 eV per cell
magnetization: 0.04 μB/f.u.

extended XYZ file:
```
16
Lattice="6.1141 0.0000 0.0000 0.0000 6.1141 0.0000 0.0000 0.0000 6.1141" Properties=species:S:1:pos:R:3 pbc="T T T"
Be 0.0000 0.0000 0.0000
Be 0.0000 3.0570 3.0570
Be 3.0570 0.0000 3.0570
Be 3.0570 3.0570 0.0000
Co 0.0000 0.0000 3.0570
Co 0.0000 3.0570 0.0000
Co 3.0570 0.0000 0.0000
Co 3.0570 3.0570 3.0570
Hg 1.5285 1.5285 4.5855
Hg 1.5285 4.5855 1.5285
Hg 4.5855 1.5285 1.5285
Hg 4.5855 4.5855 4.5855
Ge 1.5285 1.5285 1.5285
Ge 1.5285 4.5855 4.5855
Ge 4.5855 1.5285 4.5855
Ge 4.5855 4.5855 1.5285
```

Record 10
Below is a relaxed structure of Be2Co2Ge2IrOs, with properties calculated at the PBE-GGA level.

Calculated values
electronic total energy: -52.9 eV per cell
magnetization: 0.00 μB/f.u.

extended XYZ file:
```
8
Lattice="4.0427 0.0000 0.0000 0.0000 4.0427 0.0000 0.0000 0.0000 5.7208" Properties=species:S:1:pos:R:3 pbc="T T T"
Be 0.0000 2.0214 1.4147
Be 2.0214 0.0000 4.3061
Co 0.0000 0.0000 2.8604
Co 2.0214 2.0214 0.0000
Ge 0.0000 2.0214 4.3169
Ge 2.0214 0.0000 1.4039
Ir 2.0214 2.0214 2.8604
Os 0.0000 0.0000 0.0000
```

Record 11
Below is a relaxed structure of MgBeCoGe, with properties calculated at the PBE-GGA level.

Calculated values
distance to the lowest polymorph of the same formula: 4.9 kJ/mol of atoms
electronic total energy: -66.2 eV per cell
magnetization: 0.00 μB/f.u.

extended XYZ file:
```
16
Lattice="5.8428 0.0000 0.0000 0.0000 5.8428 0.0000 0.0000 0.0000 5.8428" Properties=species:S:1:pos:R:3 pbc="T T T"
Mg 0.0000 0.0000 0.0000
Mg 0.0000 2.9214 2.9214
Mg 2.9214 0.0000 2.9214
Mg 2.9214 2.9214 0.0000
Be 1.4607 1.4607 4.3821
Be 1.4607 4.3821 1.4607
Be 4.3821 1.4607 1.4607
Be 4.3821 4.3821 4.3821
Co 1.4607 1.4607 1.4607
Co 1.4607 4.3821 4.3821
Co 4.3821 1.4607 4.3821
Co 4.3821 4.3821 1.4607
Ge 0.0000 0.0000 2.9214
Ge 0.0000 2.9214 0.0000
Ge 2.9214 0.0000 0.0000
Ge 2.9214 2.9214 2.9214
```

Record 12
Below is a relaxed structure of MgBeCoGe, with properties calculated at the PBE-GGA level.

Calculated values
distance to the lowest polymorph of the same formula: 0.0 kJ/mol of atoms
electronic total energy: -67.0 eV per cell
magnetization: 0.00 μB/f.u.

extended XYZ file:
```
16
Lattice="5.8403 0.0000 0.0000 0.0000 5.8403 0.0000 0.0000 0.0000 5.8403" Properties=species:S:1:pos:R:3 pbc="T T T"
Mg 0.0000 0.0000 0.0000
Mg 0.0000 2.9201 2.9201
Mg 2.9201 0.0000 2.9201
Mg 2.9201 2.9201 0.0000
Be 1.4601 1.4601 4.3802
Be 1.4601 4.3802 1.4601
Be 4.3802 1.4601 1.4601
Be 4.3802 4.3802 4.3802
Co 0.0000 0.0000 2.9201
Co 0.0000 2.9201 0.0000
Co 2.9201 0.0000 0.0000
Co 2.9201 2.9201 2.9201
Ge 1.4601 1.4601 1.4601
Ge 1.4601 4.3802 4.3802
Ge 4.3802 1.4601 4.3802
Ge 4.3802 4.3802 1.4601
```

Record 13
Below is a relaxed structure of BeNbCoGe, with properties calculated at the PBE-GGA level.

Calculated values
distance to the lowest polymorph of the same formula: 0.3 kJ/mol of atoms
electronic total energy: -101.3 eV per cell
magnetization: 2.09 μB/f.u.

extended XYZ file:
```
16
Lattice="5.9448 0.0000 0.0000 0.0000 5.9448 0.0000 0.0000 0.0000 5.9448" Properties=species:S:1:pos:R:3 pbc="T T T"
Be 0.0000 0.0000 0.0000
Be 0.0000 2.9724 2.9724
Be 2.9724 0.0000 2.9724
Be 2.9724 2.9724 0.0000
Nb 1.4862 1.4862 1.4862
Nb 1.4862 4.4586 4.4586
Nb 4.4586 1.4862 4.4586
Nb 4.4586 4.4586 1.4862
Co 1.4862 1.4862 4.4586
Co 1.4862 4.4586 1.4862
Co 4.4586 1.4862 1.4862
Co 4.4586 4.4586 4.4586
Ge 0.0000 0.0000 2.9724
Ge 0.0000 2.9724 0.0000
Ge 2.9724 0.0000 0.0000
Ge 2.9724 2.9724 2.9724
```

Record 14
Below is a relaxed structure of BeNbCoGe, with properties calculated at the PBE-GGA level.

Calculated values
distance to the lowest polymorph of the same formula: 0.0 kJ/mol of atoms
electronic total energy: -101.3 eV per cell
magnetization: 0.16 μB/f.u.

extended XYZ file:
```
16
Lattice="5.9080 0.0000 0.0000 0.0000 5.9080 0.0000 0.0000 0.0000 5.9080" Properties=species:S:1:pos:R:3 pbc="T T T"
Be 0.0000 0.0000 0.0000
Be 0.0000 2.9540 2.9540
Be 2.9540 0.0000 2.9540
Be 2.9540 2.9540 0.0000
Nb 1.4770 1.4770 4.4310
Nb 1.4770 4.4310 1.4770
Nb 4.4310 1.4770 1.4770
Nb 4.4310 4.4310 4.4310
Co 0.0000 0.0000 2.9540
Co 0.0000 2.9540 0.0000
Co 2.9540 0.0000 0.0000
Co 2.9540 2.9540 2.9540
Ge 1.4770 1.4770 1.4770
Ge 1.4770 4.4310 4.4310
Ge 4.4310 1.4770 4.4310
Ge 4.4310 4.4310 1.4770
```